(1)
This record from Alexandria via LeMat-Bulk describes a geometry-optimized Tb4Er2Tm5 structure. The functional is PBE-GGA.

Cell and atoms, written as CIF:
```
data_Tb4Er2Tm5
_chemical_formula_sum 'Tb4 Er2 Tm5'
_symmetry_space_group_name_H-M 'P -1'
_symmetry_Int_Tables_number 2
_cell_length_a 3.612
_cell_length_b 9.082
_cell_length_c 10.802
_cell_angle_alpha 102.34
_cell_angle_beta 99.60
_cell_angle_gamma 90.02
loop_
_symmetry_equiv_pos_as_xyz
'x,y,z'
'-x,-y,-z'
loop_
_atom_site_label
_atom_site_fract_x
_atom_site_fract_y
_atom_site_fract_z
Tb1 0.027 0.201 0.055
Tb2 0.328 0.583 0.656
Er1 0.385 0.995 0.769
Tm1 0.118 0.695 0.236
Tm2 0.250 0.169 0.500
Tm3 0.500 0.500 0.000
```

Values from the calculation:
magnetic moment: 0.0 μB per formula unit
crystal system: triclinic
energy of formation from the pure elements: 0.056 eV per atom


(2)
This record from Alexandria via LeMat-Bulk describes a geometry-optimized Tb15ErTm4 structure. The functional is PBE-GGA.

Cell and atoms, written as CIF:
```
data_Tb15ErTm4
_chemical_formula_sum 'Tb15 Er1 Tm4'
_symmetry_space_group_name_H-M 'P 4/m m m'
_symmetry_Int_Tables_number 123
_symmetry_space_group_name_Hall '-P 4 2'
_cell_length_a 5.003
_cell_length_b 5.003
_cell_length_c 24.994
_cell_angle_alpha 90.00
_cell_angle_beta 90.00
_cell_angle_gamma 90.00
loop_
_atom_site_label
_atom_site_fract_x
_atom_site_fract_y
_atom_site_fract_z
Tb1 0.000 0.000 0.000
Tb2 0.000 0.000 0.200
Tb3 0.000 0.000 0.400
Tb4 0.000 0.500 0.100
Tb5 0.000 0.500 0.300
Tb6 0.000 0.500 0.500
Er1 0.500 0.500 0.000
Tm1 0.500 0.500 0.200
Tm2 0.500 0.500 0.400
```

Values from the calculation:
magnetic moment: 0.0 μB per formula unit
crystal system: tetragonal
energy of formation from the pure elements: 0.018 eV per atom


(3)
This record from Alexandria via LeMat-Bulk describes a geometry-optimized Tb2Er5Tm structure. The functional is PBE-GGA.

Cell and atoms, written as CIF:
```
data_Tb2Er5Tm
_chemical_formula_sum 'Tb4 Er10 Tm2'
_symmetry_space_group_name_H-M 'P b a m'
_symmetry_Int_Tables_number 55
_cell_length_a 7.018
_cell_length_b 14.036
_cell_length_c 4.958
_cell_angle_alpha 90.00
_cell_angle_beta 90.00
_cell_angle_gamma 90.00
loop_
_symmetry_equiv_pos_as_xyz
'x,y,z'
'-x,-y,-z'
'-x,-y,z'
'x,y,-z'
'x+1/2,-y+1/2,-z'
'-x+1/2,y+1/2,z'
'-x+1/2,y+1/2,-z'
'x+1/2,-y+1/2,z'
loop_
_atom_site_label
_atom_site_fract_x
_atom_site_fract_y
_atom_site_fract_z
Tb1 0.249 0.125 0.000
Er1 0.000 0.500 0.500
Er2 0.001 0.750 0.500
Er3 0.250 0.375 0.000
Tm1 0.000 0.000 0.500
```

Values from the calculation:
magnetic moment: 0.0 μB per formula unit
crystal system: orthorhombic
energy of formation from the pure elements: 0.019 eV per atom


(4)
This record from Alexandria via LeMat-Bulk describes a geometry-optimized Tb3Er2Tm2 structure. The functional is PBE-GGA.

Cell and atoms, written as CIF:
```
data_Tb3Er2Tm2
_chemical_formula_sum 'Tb3 Er2 Tm2'
_symmetry_space_group_name_H-M 'P -1'
_symmetry_Int_Tables_number 2
_cell_length_a 3.511
_cell_length_b 6.086
_cell_length_c 10.565
_cell_angle_alpha 95.65
_cell_angle_beta 90.02
_cell_angle_gamma 106.70
loop_
_symmetry_equiv_pos_as_xyz
'x,y,z'
'-x,-y,-z'
loop_
_atom_site_label
_atom_site_fract_x
_atom_site_fract_y
_atom_site_fract_z
Tb1 0.000 0.000 0.000
Tb2 0.143 0.285 0.571
Er1 0.286 0.571 0.142
Tm1 0.428 0.857 0.715
```

Values from the calculation:
magnetic moment: 0.0 μB per formula unit
crystal system: triclinic
energy of formation from the pure elements: 0.020 eV per atom


(5)
This record from Alexandria via LeMat-Bulk describes a geometry-optimized Tb4Er5Tm structure. The functional is PBE-GGA.

Cell and atoms, written as CIF:
```
data_Tb4Er5Tm
_chemical_formula_sum 'Tb8 Er10 Tm2'
_symmetry_space_group_name_H-M 'I 4'
_symmetry_Int_Tables_number 79
_cell_length_a 10.146
_cell_length_b 10.146
_cell_length_c 6.183
_cell_angle_alpha 90.00
_cell_angle_beta 90.00
_cell_angle_gamma 90.00
loop_
_symmetry_equiv_pos_as_xyz
'x,y,z'
'-y,x,z'
'-x,-y,z'
'y,-x,z'
'x+1/2,y+1/2,z+1/2'
'-y+1/2,x+1/2,z+1/2'
'-x+1/2,-y+1/2,z+1/2'
'y+1/2,-x+1/2,z+1/2'
loop_
_atom_site_label
_atom_site_fract_x
_atom_site_fract_y
_atom_site_fract_z
Tb1 0.044 0.656 0.000
Er1 0.000 0.000 0.232
Er2 0.148 0.772 0.500
Tm1 0.000 0.000 0.768
```

Values from the calculation:
magnetic moment: 0.0 μB per formula unit
crystal system: tetragonal
energy of formation from the pure elements: 0.309 eV per atom


(6)
This record from Alexandria via LeMat-Bulk describes a geometry-optimized Tb3Er7Tm structure. The functional is PBE-GGA.

Cell and atoms, written as CIF:
```
data_Tb3Er7Tm
_chemical_formula_sum 'Tb3 Er7 Tm1'
_symmetry_space_group_name_H-M 'P 1 2/m 1'
_symmetry_Int_Tables_number 10
_cell_length_a 6.860
_cell_length_b 5.450
_cell_length_c 9.823
_cell_angle_alpha 90.00
_cell_angle_beta 109.50
_cell_angle_gamma 90.00
loop_
_symmetry_equiv_pos_as_xyz
'x,y,z'
'-x,-y,-z'
'-x,y,-z'
'x,-y,z'
loop_
_atom_site_label
_atom_site_fract_x
_atom_site_fract_y
_atom_site_fract_z
Tb1 0.000 0.000 0.000
Tb2 0.278 0.500 0.496
Er1 0.000 0.000 0.500
Er2 0.150 0.500 0.790
Er3 0.320 0.500 0.138
Er4 0.424 0.000 0.330
Tm1 0.500 0.000 0.000
```

Values from the calculation:
magnetic moment: 0.0 μB per formula unit
crystal system: monoclinic
energy of formation from the pure elements: 0.156 eV per atom